No. 1
First-principles (PBE-GGA) data for an optimized crystal structure of Pm3NdHo6Tm2, as listed in the Alexandria database.

Cell lengths 6.173, 10.685, 11.787 Å; angles 90.00, 100.02, 90.00 degrees
Space group C2/m (No. 12)
Inequivalent atoms, fractional coordinates:
1 Pm 0.000 0.000 0.000
2 Pm 0.000 0.333 0.000
3 Nd 0.000 0.500 0.500
4 Ho 0.248 0.000 0.748
5 Ho 0.250 0.167 0.252
6 Tm 0.000 0.167 0.500

Summary:
- E: -55.21 eV per formula unit


No. 2
First-principles (PBE-GGA) data for an optimized crystal structure of SrNdNCl, as listed in the Alexandria database.

Cell lengths 3.7596, 3.7596, 21.5323 Å; angles 90.00, 90.00, 120.00 degrees
Space group R3m (No. 160, hexagonal axes)
Inequivalent atoms, fractional coordinates:
1 Sr 0.0000 0.0000 0.0000
2 Nd 0.0000 0.0000 0.7941
3 N 0.0000 0.0000 0.4047
4 Cl 0.0000 0.0000 0.2277

Summary:
- Formation energy from raw total energies: -1.418 eV per atom


No. 3
First-principles (PBE-GGA) data for an optimized crystal structure of Pm4Nd3Y4, as listed in the Alexandria database.

Cell lengths 3.625, 9.446, 22.438 Å; angles 90.00, 90.00, 90.00 degrees
Space group Immm (No. 71)
Inequivalent atoms, fractional coordinates:
1 Pm 0.000 0.177 0.144
2 Nd 0.000 0.000 0.391
3 Nd 0.000 0.500 0.500
4 Y 0.000 0.318 0.000
5 Y 0.000 0.500 0.242

Summary:
- Energy relative to the lowest polymorph listed for this composition: 0 meV/atom


No. 4
First-principles (PBE-GGA) data for an optimized crystal structure of Ca3NdAl8, as listed in the Alexandria database.

Cell lengths 5.6864, 5.6864, 9.2158 Å; angles 90.00, 90.00, 120.00 degrees
Space group P3m1 (No. 156)
Inequivalent atoms, fractional coordinates:
1 Ca 0.0000 0.0000 0.0000
2 Ca 0.0000 0.0000 0.3663
3 Ca 0.3333 0.6667 0.8682
4 Nd 0.3333 0.6667 0.5011
5 Al 0.0083 0.5041 0.1843
6 Al 0.3258 0.1629 0.6830
7 Al 0.6667 0.3333 0.4347
8 Al 0.6667 0.3333 0.9365

Summary:
- Energy relative to the lowest polymorph listed for this composition: 14 meV/atom


No. 5
First-principles (PBE-GGA) data for an optimized crystal structure of AcPm4NdDy2, as listed in the Alexandria database.

Cell lengths 5.175, 5.196, 10.392 Å; angles 90.00, 90.09, 90.00 degrees
Space group P2/m (No. 10)
Inequivalent atoms, fractional coordinates:
1 Ac 0.000 0.000 0.000
2 Pm 0.000 0.500 0.255
3 Pm 0.500 0.000 0.257
4 Nd 0.500 0.500 0.500
5 Dy 0.000 0.000 0.500
6 Dy 0.500 0.500 0.000

Summary:
- E: -36.84 eV per formula unit


No. 6
First-principles (PBE-GGA) data for an optimized crystal structure of Pa6PdSe12, as listed in the Alexandria database.

Cell lengths 12.6621, 12.6621, 11.2035 Å; angles 90.00, 90.00, 120.00 degrees
Space group R-3 (No. 148, hexagonal axes)
Inequivalent atoms, fractional coordinates:
1 Pa 0.0546 0.7793 0.1495
2 Pd 0.0000 0.0000 0.5000
3 Se 0.0359 0.8228 0.8888
4 Se 0.0481 0.8423 0.3910

Summary:
- Formation energy from raw total energies: -1.186 eV per atom


No. 7
First-principles (PBE-GGA) data for an optimized crystal structure of SmHo8Th4, as listed in the Alexandria database.

Cell lengths 7.3667, 7.3667, 26.5462 Å; angles 90.00, 90.00, 120.00 degrees
Space group R-3m (No. 166, hexagonal axes)
Inequivalent atoms, fractional coordinates:
1 Sm 0.0000 0.0000 0.0000
2 Ho 0.0000 0.0000 0.2788
3 Ho 0.0411 0.5205 0.2701
4 Th 0.0000 0.0000 0.5000
5 Th 0.0000 0.5000 0.5000

Summary:
- E: -68.21 eV per formula unit


No. 8
First-principles (PBE-GGA) data for an optimized crystal structure of FeTc2Br, as listed in the Alexandria database.

Cell lengths 9.261, 2.935, 4.472 Å; angles 90.00, 92.60, 90.00 degrees
Space group Cm (No. 8)
Inequivalent atoms, fractional coordinates:
1 Fe 0.000 0.000 0.000
2 Tc 0.230 0.500 0.213
3 Tc 0.452 0.000 0.435
4 Br 0.222 0.000 0.737

Summary:
- Energy relative to the lowest polymorph listed for this composition: 323 meV/atom
- Formation energy from raw total energies: 0.750 eV per atom


No. 9
First-principles (PBE-GGA) data for an optimized crystal structure of NaCoN2, as listed in the Alexandria database.

Cell lengths 5.141, 5.141, 7.660 Å; angles 90.00, 90.00, 90.00 degrees
Space group I-42d (No. 122)
Inequivalent atoms, fractional coordinates:
1 Na 0.000 0.000 0.000
2 Co 0.000 0.000 0.500
3 N 0.141 0.250 0.625

Summary:
- Energy relative to the lowest polymorph listed for this composition: 0 meV/atom
- Formation energy from raw total energies: 0.241 eV per atom


No. 10
First-principles (PBE-GGA) data for an optimized crystal structure of LaVN3, as listed in the Alexandria database.

Cell lengths 4.291, 4.291, 4.291 Å; angles 90.00, 90.00, 90.00 degrees
Space group Pm-3m (No. 221)
Inequivalent atoms, fractional coordinates:
1 La 0.000 0.000 0.000
2 V 0.500 0.500 0.500
3 N 0.000 0.000 0.500

Summary:
- Formation energy from raw total energies: 1.487 eV per atom


No. 11
First-principles (PBE-GGA) data for an optimized crystal structure of NdPaAgAu, as listed in the Alexandria database.

Cell lengths 7.347, 7.347, 7.347 Å; angles 90.00, 90.00, 90.00 degrees
Space group F-43m (No. 216)
Inequivalent atoms, fractional coordinates:
1 Nd 0.000 0.000 0.000
2 Pa 0.000 0.000 0.500
3 Ag 0.250 0.250 0.250
4 Au 0.250 0.250 0.750

Summary:
- E: -20.85 eV per formula unit


No. 12
First-principles (PBE-GGA) data for an optimized crystal structure of Cs2SrMgI6, as listed in the Alexandria database.

Cell lengths 12.356, 12.356, 12.356 Å; angles 90.00, 90.00, 90.00 degrees
Space group Fm-3m (No. 225)
Inequivalent atoms, fractional coordinates:
1 Cs 0.250 0.250 0.250
2 Sr 0.000 0.000 0.000
3 Mg 0.000 0.000 0.500
4 I 0.000 0.000 0.262

Summary:
- Formation energy from raw total energies: -1.425 eV per atom


No. 13
First-principles (PBE-GGA) data for an optimized crystal structure of BaBr2, as listed in the Alexandria database.

Cell lengths 4.727, 11.873, 7.803 Å; angles 90.00, 90.00, 90.00 degrees
Space group Cmc2_1 (No. 36)
Inequivalent atoms, fractional coordinates:
1 Ba 0.000 0.113 0.000
2 Br 0.000 0.199 0.434
3 Br 0.000 0.485 0.226

Summary:
- Formation energy from raw total energies: -2.140 eV per atom


No. 14
First-principles (PBE-GGA) data for an optimized crystal structure of Ac4NbN5, as listed in the Alexandria database.

Cell lengths 8.255, 8.255, 5.552 Å; angles 90.00, 90.00, 90.00 degrees
Space group I4 (No. 79)
Inequivalent atoms, fractional coordinates:
1 Ac 0.111 0.696 0.000
2 Nb 0.000 0.000 0.562
3 N 0.000 0.000 0.907
4 N 0.086 0.748 0.506

Summary:
- Formation energy from raw total energies: -1.029 eV per atom


No. 15
First-principles (PBE-GGA) data for an optimized crystal structure of TaN, as listed in the Alexandria database.

Cell lengths 4.421, 4.421, 4.421 Å; angles 90.00, 90.00, 90.00 degrees
Space group Fm-3m (No. 225)
Inequivalent atoms, fractional coordinates:
1 Ta 0.000 0.000 0.000
2 N 0.000 0.000 0.500

Summary:
- Formation energy from raw total energies: -0.860 eV per atom


No. 16
First-principles (PBE-GGA) data for an optimized crystal structure of CSeI3, as listed in the Alexandria database.

Cell lengths 5.055, 5.055, 5.055 Å; angles 90.00, 90.00, 90.00 degrees
Space group Pm-3m (No. 221)
Inequivalent atoms, fractional coordinates:
1 C 0.000 0.000 0.000
2 Se 0.500 0.500 0.500
3 I 0.000 0.000 0.500

Summary:
- Energy relative to the lowest polymorph listed for this composition: 0 meV/atom
- Formation energy from raw total energies: 1.348 eV per atom


No. 17
First-principles (PBE-GGA) data for an optimized crystal structure of NpTa2Mo, as listed in the Alexandria database.

Cell lengths 4.831, 4.831, 3.144 Å; angles 90.00, 90.00, 90.00 degrees
Space group P4/mmm (No. 123)
Inequivalent atoms, fractional coordinates:
1 Np 0.000 0.000 0.000
2 Ta 0.000 0.500 0.500
3 Mo 0.500 0.500 0.000

Summary:
- Energy relative to the lowest polymorph listed for this composition: 103 meV/atom


No. 18
First-principles (PBE-GGA) data for an optimized crystal structure of InAsPt2, as listed in the Alexandria database.

Cell lengths 6.691, 2.988, 7.636 Å; angles 90.00, 102.24, 90.00 degrees
Space group C2/m (No. 12)
Inequivalent atoms, fractional coordinates:
1 In 0.000 0.000 0.000
2 As 0.000 0.500 0.500
3 Pt 0.245 0.500 0.268

Summary:
- E: -20.22 eV per formula unit


No. 19
First-principles (PBE-GGA) data for an optimized crystal structure of Tm2Ga2Ni, as listed in the Alexandria database.

Cell lengths 10.376, 4.180, 10.285 Å; angles 90.00, 117.06, 90.00 degrees
Space group C2/m (No. 12)
Inequivalent atoms, fractional coordinates:
1 Tm 0.007 0.000 0.332
2 Tm 0.189 0.000 0.117
3 Ga 0.021 0.500 0.883
4 Ga 0.155 0.500 0.558
5 Ni 0.223 0.500 0.342

Summary:
- E: -23.93 eV per formula unit


No. 20
First-principles (PBE-GGA) data for an optimized crystal structure of NaTm2F7, as listed in the Alexandria database.

Cell lengths 6.933, 10.983, 4.257 Å; angles 90.00, 90.00, 90.00 degrees
Space group Cmmm (No. 65)
Inequivalent atoms, fractional coordinates:
1 Na 0.000 0.000 0.000
2 Tm 0.000 0.305 0.500
3 F 0.000 0.286 0.000
4 F 0.000 0.500 0.500
5 F 0.189 0.141 0.500

Summary:
- Formation energy from raw total energies: -3.859 eV per atom


No. 21
First-principles (PBE-GGA) data for an optimized crystal structure of Zr2PaAu, as listed in the Alexandria database.

Cell lengths 7.010, 7.010, 7.010 Å; angles 90.00, 90.00, 90.00 degrees
Space group Fm-3m (No. 225)
Inequivalent atoms, fractional coordinates:
1 Zr 0.250 0.250 0.250
2 Pa 0.000 0.000 0.000
3 Au 0.000 0.000 0.500

Summary:
- Energy relative to the lowest polymorph listed for this composition: 189 meV/atom


No. 22
First-principles (PBE-GGA) data for an optimized crystal structure of LaZnBi3, as listed in the Alexandria database.

Cell lengths 6.208, 6.208, 6.208 Å; angles 90.00, 90.00, 90.00 degrees
Space group Pm-3m (No. 221)
Inequivalent atoms, fractional coordinates:
1 La 0.000 0.000 0.000
2 Zn 0.500 0.500 0.500
3 Bi 0.000 0.000 0.500

Summary:
- Energy relative to the lowest polymorph listed for this composition: 627 meV/atom


No. 23
First-principles (PBE-GGA) data for an optimized crystal structure of La2ReIr, as listed in the Alexandria database.

Cell lengths 7.829, 7.829, 6.112 Å; angles 90.00, 90.00, 90.00 degrees
Space group I-42d (No. 122)
Inequivalent atoms, fractional coordinates:
1 La 0.243 0.250 0.125
2 Re 0.000 0.000 0.500
3 Ir 0.000 0.000 0.000

Summary:
- Energy relative to the lowest polymorph listed for this composition: 542 meV/atom


No. 24
First-principles (PBE-GGA) data for an optimized crystal structure of Nd4Bi3N, as listed in the Alexandria database.

Cell lengths 10.103, 8.889, 6.501 Å; angles 90.00, 90.00, 90.00 degrees
Space group Pmn2_1 (No. 31)
Inequivalent atoms, fractional coordinates:
1 Nd 0.000 0.091 0.000
2 Nd 0.000 0.818 0.563
3 Nd 0.206 0.696 0.001
4 Bi 0.000 0.162 0.489
5 Bi 0.230 0.338 0.989
6 N 0.000 0.822 0.922

Summary:
- Formation energy from raw total energies: -0.775 eV per atom


Calculated volume / Å³ per cell: 765.6; 263.6; 768.4; 258.1; 279.5; 1555.6; 1247.6; 121.4; 202.5; 79.0; 396.7; 1886.5; 437.9; 378.3; 86.4; 129.2; 73.4; 149.2; 397.3; 324.1; 344.4; 239.2; 374.6; 583.8